Entry 1:
An optimized crystal structure of Co3Bi, computed with PBE.

Lattice parameters (Å, degrees): 4.5801 4.5801 4.5801 130.34 130.34 72.86
Closest atoms and distances in Å follow each position.
Element x y z (fractional)
Co (0.0000, 0.0000, 0.0000)  8 Co 2.66, 4 Bi 2.72
Co (0.2500, 0.7500, 0.5000)  4 Bi 2.66, 8 Co 2.66-2.72
Co (0.7500, 0.2500, 0.5000)  4 Bi 2.66, 8 Co 2.66-2.72
Bi (0.5000, 0.5000, 0.0000)  12 Co 2.66-2.72

Properties
Symmetry: No. 139
E, eV/f.u.: -23.4
Excess energy over the best structure of this formula in the dataset, eV per atom: 0.097


Entry 2:
An optimized crystal structure of GdHoP2Ir2O2, computed with PBE.

Lattice parameters (Å, degrees): 3.9547 3.9547 8.0050 90.00 90.00 90.00
Closest atoms and distances in Å follow each position.
Element x y z (fractional)
Gd (0.0000, 0.0000, 0.0000)  4 O 2.28
Ho (0.5000, 0.5000, 0.2727)  4 O 2.24
P (0.0000, 0.0000, 0.4740)  4 Ir 2.37
P (0.5000, 0.5000, 0.8022)  4 Ir 2.38
Ir (0.0000, 0.5000, 0.6378)  4 P 2.37-2.38
Ir (0.5000, 0.0000, 0.6378)  4 P 2.37-2.38
O (0.0000, 0.5000, 0.1413)  2 Ho 2.24, 2 Gd 2.28
O (0.5000, 0.0000, 0.1413)  2 Ho 2.24, 2 Gd 2.28

Properties
Symmetry: No. 99
E, eV/f.u.: -63.5


Q: Which of these has the lowest E?
A: GdHoP2Ir2O2


Q: What is the E in the second record?
A: -63.5 eV/f.u.


Q: Which value of E does entry 2 give?
A: -63.5 eV/f.u.


Q: What is the E in the first record?
A: -23.4 eV/f.u.